Material: Ba2LaTaO6
Method: DFT, meta-GGA SCAN
State: single point on PBEsol structure

Lattice parameters (Å, degrees): 6.1370 6.0676 10.4873 90.00 125.09 90.00
With the nearest neighbours (Å) after each atom.
Space group P2_1/c (No. 14)
One atom of each set of equivalent atoms:
Ba 0.2410 0.0108 0.2480 x4  6 O 2.69-2.97
La 0.5000 0.0000 0.0000 x2  6 O 2.37
Ta 0.0000 0.0000 0.5000 x2  6 O 2.00
O 0.1745 0.2444 0.4608 x4  1 Ta 2.00
O 0.1998 0.7193 0.9613 x4  1 Ta 2.00
O 0.2977 0.0067 0.7274 x4  1 Ta 2.00

## Properties
ΔE_f (raw)	-3367	meV/atom
VASP energy	-25.984	eV per atom
total magnetic moment	0.000	μB per cell

***

Material: Ba2LaTaO6
Method: DFT, meta-GGA SCAN
State: single point on PBEsol structure

Lattice parameters (Å, degrees): 6.1342 6.1342 14.7197 90.00 90.00 120.00
With the nearest neighbours (Å) after each atom.
Space group R-3 (No. 148, hexagonal axes)
One atom of each set of equivalent atoms:
Ba 0.0000 0.0000 0.2474 x6  6 O 2.71-2.98
La 0.0000 0.0000 0.5000 x3  6 O 2.37
Ta 0.0000 0.0000 0.0000 x3  6 O 2.00
O 0.0326 0.5761 0.7449 x18  1 Ta 2.00

## Properties
ΔE_f (raw)	-3366	meV/atom
VASP energy	-25.984	eV per atom
total magnetic moment	0.000	μB per cell

***

Material: BaLa4Ti4O15
Method: DFT, meta-GGA SCAN
State: single point on PBEsol structure

Lattice parameters (Å, degrees): 5.5622 5.5622 21.8464 90.00 90.00 120.00
With the nearest neighbours (Å) after each atom.
Space group P-3c1 (No. 165)
One atom of each set of equivalent atoms:
Ba 0.0000 0.0000 0.2500 x2  12 O 2.65-2.91
La 0.3333 0.6667 0.0400 x4  6 O 2.43-2.57
La 0.3333 0.6667 0.3588 x4  6 O 2.46-2.53
Ti 0.0000 0.0000 0.0883 x4  3 O 1.87
Ti 0.3333 0.6667 0.1976 x4  6 O 1.95-1.98
O 0.0000 0.4769 0.2500 x6  2 Ti 1.98
O 0.1045 0.3420 0.4482 x12  1 Ti 1.87
O 0.1130 0.3414 0.6465 x12  2 Ti 1.95-2.10

## Properties
ΔE_f (raw)	-3610	meV/atom
VASP energy	-19.008	eV per atom
total magnetic moment	0.000	μB per cell

***

Material: BaLa2Ti3O10
Method: DFT, meta-GGA SCAN
State: single point on PBEsol structure

Lattice parameters (Å, degrees): 3.9048 28.1582 7.6477 90.00 90.00 90.00
With the nearest neighbours (Å) after each atom.
Space group Cmcm (No. 63)
One atom of each set of equivalent atoms:
Ba 0.0000 0.2424 0.2500 x4  6 O 2.66-2.67
La 0.0000 0.0730 0.2500 x4  6 O 2.42-2.55
La 0.0000 0.0793 0.7500 x4  8 O 2.47-2.72
Ti 0.0000 0.3531 0.5046 x8  2 O 1.76-1.95
Ti 0.0000 0.5000 0.0000 x4  6 O 1.92-1.96
O 0.0000 0.0000 0.0000 x4  2 Ti 1.95
O 0.0000 0.1323 0.0068 x8  2 Ti 2.00
O 0.0000 0.2918 0.5466 x8  1 Ti 1.76
O 0.0000 0.3535 0.2500 x4  2 Ti 1.95
O 0.0000 0.3763 0.7500 x4  2 Ti 1.99
O 0.0000 0.4328 0.0464 x8  1 Ti 1.92
O 0.0000 0.4853 0.7500 x4  2 Ti 1.96

## Properties
ΔE_f (raw)	-3582	meV/atom
VASP energy	-18.342	eV per atom
total magnetic moment	0.000	μB per cell

***

Material: Ba3LaV3O12
Method: DFT, meta-GGA SCAN
State: single point on PBEsol structure

Lattice parameters (Å, degrees): 21.8969 5.6222 9.4710 90.00 93.53 90.00
With the nearest neighbours (Å) after each atom.
Space group Cm (No. 8)
One atom of each set of equivalent atoms:
Ba 0.0000 0.0000 0.0000 x2  6 O 2.66-2.79
Ba 0.0163 0.5000 0.3414 x2  5 O 2.55-2.80
Ba 0.1535 0.5000 0.6969 x2  6 O 2.71-2.77
Ba 0.3235 0.0000 0.3396 x2  7 O 2.68-2.93
Ba 0.3544 0.5000 0.6784 x2  4 O 2.52-2.75
Ba 0.4591 0.0000 0.6936 x2  10 O 2.73-3.03
La 0.1399 0.0000 0.3307 x2  5 O 2.43-2.51
La 0.2778 0.5000 0.0220 x2  4 O 2.32-2.53
V 0.0526 0.0000 0.6576 x2  4 O 1.68-1.73
V 0.1010 0.5000 0.0484 x2  4 O 1.70-1.73
V 0.2184 0.5000 0.3460 x2  4 O 1.67-1.72
V 0.2595 0.0000 0.7000 x2  4 O 1.71-1.75
V 0.3809 0.0000 0.0054 x2  4 O 1.69-1.72
V 0.4190 0.5000 0.3474 x2  4 O 1.70-1.76
O 0.0464 0.5000 0.9123 x2  1 V 1.70
O 0.0628 0.2486 0.5572 x4  1 V 1.71
O 0.0886 0.2569 0.1544 x4  1 V 1.73
O 0.1023 0.0000 0.7997 x2  1 V 1.68
O 0.1473 0.5000 0.4073 x2  1 V 1.70
O 0.1720 0.5000 0.9838 x2  1 V 1.71
O 0.2037 0.0000 0.5597 x2  1 V 1.75
O 0.2234 0.2486 0.2431 x4  1 V 1.72
O 0.2568 0.2557 0.7995 x4  1 V 1.72
O 0.2723 0.5000 0.4795 x2  1 V 1.67
O 0.3070 0.0000 0.0545 x2  1 V 1.71
O 0.3301 0.0000 0.6330 x2  1 V 1.71
O 0.3561 0.5000 0.2227 x2  1 V 1.76
O 0.3959 0.2470 0.9063 x4  1 V 1.72
O 0.4161 0.2581 0.4561 x4  1 V 1.71
O 0.4266 0.0000 0.1564 x2  1 V 1.69
O 0.4798 0.5000 0.7198 x2  1 V 1.73
O 0.4892 0.5000 0.2789 x2  1 V 1.70

## Properties
ΔE_f (raw)	-3142	meV/atom
VASP energy	-18.352	eV per atom
total magnetic moment	0.030	μB per cell

***

Material: BaLa3Os
Method: DFT, meta-GGA SCAN
State: single point on PBEsol structure

Lattice parameters (Å, degrees): 5.7022 5.7022 5.7022 90.00 90.00 90.00
With the nearest neighbours (Å) after each atom.
Space group Pm-3m (No. 221)
One atom of each set of equivalent atoms:
Ba 0.0000 0.0000 0.0000 x1  12 La 4.03
La 0.0000 0.5000 0.5000 x3  2 Os 2.85
Os 0.5000 0.5000 0.5000 x1  6 La 2.85

## Properties
excess energy over the best structure of this formula in the dataset	23.3	meV per atom
VASP energy	-48.278	eV per atom
formation energy from the elements	-129	meV/atom
total magnetic moment	0.014	μB per cell

***

Material: BaLa3Os
Method: DFT, meta-GGA SCAN
State: single point on PBEsol structure

Lattice parameters (Å, degrees): 6.2252 8.2796 6.9407 90.00 90.00 90.00
With the nearest neighbours (Å) after each atom.
Space group Pmma (No. 51)
One atom of each set of equivalent atoms:
Ba 0.2500 0.0000 0.1797 x2  10 La 3.90-4.14, 2 Ba 3.99
La 0.2500 0.2536 0.6690 x4  2 Os 2.82
La 0.2500 0.5000 0.1598 x2  2 Os 2.83
Os 0.0000 0.5000 0.5000 x2  6 La 2.82-2.83, 2 Os 3.11

## Properties
excess energy over the best structure of this formula in the dataset	0.0	meV per atom
VASP energy	-48.301	eV per atom
formation energy from the elements	-152	meV/atom
total magnetic moment	0.003	μB per cell

***

Material: BaLaP3
Method: DFT, meta-GGA SCAN
State: single point on PBEsol structure

Lattice parameters (Å, degrees): 5.3606 5.3606 5.3606 90.00 90.00 90.00
With the nearest neighbours (Å) after each atom.
Space group Pm-3m (No. 221)
One atom of each set of equivalent atoms:
Ba 0.0000 0.0000 0.0000 x1  12 P 3.79
La 0.5000 0.5000 0.5000 x1  6 P 2.68
P 0.0000 0.5000 0.5000 x3  2 La 2.68

## Properties
VASP energy	-23.064	eV per atom
formation energy from the elements	-294	meV/atom
total magnetic moment	0.000	μB per cell

***

Which value of total magnetic moment does entry 5 give? 0.030 μB per cell